1.
A plane-wave DFT calculation with GGA-PBE was carried out for a relaxed structure of BeNiW2.

Cell lengths 2.681, 2.681, 7.132 Å; angles 90.00, 90.00, 94.61 degrees
Positions (direct):
1 Ni 0.500 0.500 0.706
2 W 0.000 0.000 0.967
3 W 0.500 0.500 0.292
4 Be 0.000 0.000 0.535

Summary:
The space group is Cmm2. The value obtained for the theoretical density is 14149 kg/m3. The raw total energy comes out at -8.87 eV/atom.

2.
A plane-wave DFT calculation with GGA-PBE was carried out for a relaxed structure of BeNi3W.

Cell lengths 4.487, 4.487, 4.487 Å; angles 90.00, 90.00, 90.00 degrees
Positions (direct):
1 Ni 0.000 0.500 0.000
2 Ni 0.000 0.000 0.500
3 Ni 0.500 0.000 0.000
4 W 0.000 0.000 0.000
5 Be 0.500 0.500 0.500

Summary:
Its excess energy over the best structure of this formula in the dataset is 6.21 eV/f.u. The space group is Pm-3m. The value obtained for the theoretical density is 6783 kg/m3. The raw total energy comes out at -5.11 eV/atom.

3.
A plane-wave DFT calculation with GGA-PBE was carried out for a relaxed structure of BeNiW3.

Cell lengths 4.177, 4.177, 4.177 Å; angles 90.00, 90.00, 90.00 degrees
Positions (direct):
1 Ni 0.500 0.500 0.500
2 W 0.000 0.500 0.000
3 W 0.000 0.000 0.500
4 W 0.500 0.000 0.000
5 Be 0.000 0.000 0.000

Summary:
Its excess energy over the best structure of this formula in the dataset is 0.00 eV/f.u. The space group is Pm-3m. The value obtained for the theoretical density is 14112 kg/m3. The raw total energy comes out at -8.77 eV/atom.